Material: LiMgIn2
Method: DFT, PBE
State: relaxed

a = 5.396 Å, b = 5.396 Å, c = 3.199 Å
α = 90.00°, β = 90.00°, γ = 109.35°
Positions (direct):
In (0.000, 0.000, 0.000)
In (0.500, 0.500, 0.000)
Mg (0.000, 0.500, 0.500)
Li (0.500, 0.000, 0.500)

ΔE_f	-0.69	eV/f.u.
D(E_F)	1.1	states/eV per cell
calculated total energy	-2.4198	eV per atom
symmetry	Cmmm, No. 65